Entry 1:
The following is a DFT calculation (PBE-GGA) of SiTeAs2Os after structural relaxation.

Lattice parameters (Å, degrees): 4.638 5.844 4.638 90.00 90.00 90.00
Fractional positions:
As 0.500 0.000 0.000
Te 0.000 0.500 0.000
Si 0.500 0.500 0.500
Os 0.000 0.000 0.000
As 0.000 0.000 0.500

Summary:
V (Å³/atom): 25.15
Density (g/cm3): 6.5
Formation energy from raw total energies (eV/f.u.): 3.95

Entry 2:
The following is a DFT calculation (PBE-GGA) of ReRhBr2 after structural relaxation.

Lattice parameters (Å, degrees): 2.969 5.576 4.433 90.00 90.00 90.00
Site moments in Bohr magnetons follow the coordinates.
Fractional positions:
Br 0.000 0.000 0.000  0.03
Re 0.500 0.000 0.500  1.28
Rh 0.000 0.500 0.500  0.07
Br 0.500 0.500 0.000  0.05

Summary:
V (Å³/atom): 18.35
Density (g/cm3): 10.2
Formation energy from raw total energies (eV/f.u.): 4.49
Distance to the lowest polymorph of the same formula (eV/atom): 0.8640

Entry 3:
The following is a DFT calculation (PBE-GGA) of TlIn5Sn2 after structural relaxation.

Lattice parameters (Å, degrees): 5.051 6.572 13.381 90.00 90.00 90.00
Fractional positions:
Tl 0.000 0.500 0.000
Sn 0.500 0.743 0.371
Tl 0.000 0.000 0.500
In 0.000 0.494 0.253
In 0.000 0.500 0.500
In 0.500 0.255 0.875
In 0.500 0.755 0.625
In 0.500 0.745 0.125
Sn 0.500 0.757 0.871
Sn 0.500 0.257 0.629
In 0.000 0.006 0.753
In 0.500 0.245 0.375
Sn 0.500 0.243 0.129
In 0.000 0.994 0.247
In 0.000 0.000 0.000
In 0.000 0.506 0.747

Summary:
V (Å³/atom): 27.76
Density (g/cm3): 7.6
Distance to the lowest polymorph of the same formula (eV/atom): 0.0000
Calculated formation energy (kcal/mol of atoms): 0.49

Entry 4:
The following is a DFT calculation (PBE-GGA) of CaIn4Ag4 after structural relaxation.

Lattice parameters (Å, degrees): 4.971 9.265 9.265 90.00 90.00 90.00
Fractional positions:
Ag 0.000 0.399 0.698
Ag 0.500 0.802 0.899
In 0.000 0.905 0.361
In 0.000 0.095 0.639
Ag 0.500 0.198 0.101
In 0.500 0.405 0.861
Ag 0.500 0.101 0.802
In 0.000 0.361 0.095
Ag 0.000 0.302 0.399
In 0.500 0.861 0.595
In 0.000 0.639 0.905
Ca 0.000 0.000 0.000
In 0.500 0.139 0.405
Ag 0.500 0.899 0.198
Ag 0.000 0.601 0.302
Ca 0.500 0.500 0.500
Ag 0.000 0.698 0.601
In 0.500 0.595 0.139

Summary:
V (Å³/atom): 23.70
Density (g/cm3): 7.2
Calculated formation energy (kcal/mol of atoms): -2.34

Entry 5:
The following is a DFT calculation (PBE-GGA) of Ac4Pm3Cd after structural relaxation.

Lattice parameters (Å, degrees): 3.930 3.930 19.844 90.00 90.00 90.00
Fractional positions:
Pm 0.500 0.500 0.241
Ac 0.000 0.000 0.108
Ac 0.000 0.000 0.630
Pm 0.500 0.500 0.500
Cd 0.500 0.500 0.000
Ac 0.000 0.000 0.370
Ac 0.000 0.000 0.892
Pm 0.500 0.500 0.759

Summary:
V (Å³/atom): 38.31
Density (g/cm3): 7.9
Calculated formation energy (kcal/mol of atoms): -1.05

Entry 6:
The following is a DFT calculation (PBE-GGA) of Ba12Pb3Br5 after structural relaxation.

Lattice parameters (Å, degrees): 17.376 17.376 17.376 109.47 109.47 109.47
Fractional positions:
Br 0.500 0.500 0.500
Ba 0.724 0.133 0.048
Ba 0.415 0.048 0.324
Ba 0.776 0.324 0.909
Pb 0.875 0.125 0.250
Ba 0.633 0.585 0.909
Br 0.500 0.000 0.500
Ba 0.676 0.452 0.585
Br 0.250 0.375 0.625
Ba 0.548 0.224 0.133
Br 0.625 0.750 0.875
Br 0.750 0.125 0.875
Pb 0.625 0.375 0.750
Ba 0.952 0.585 0.176
Ba 0.952 0.367 0.276
Ba 0.415 0.367 0.591
Pb 0.750 0.375 0.125
Ba 0.324 0.548 0.415
Ba 0.048 0.633 0.724
Pb 0.250 0.125 0.375
Ba 0.915 0.824 0.548
Br 0.500 0.000 0.000
Ba 0.909 0.085 0.633
Br 0.125 0.375 0.250
Br 0.500 0.500 0.000
Pb 0.125 0.250 0.875
Pb 0.250 0.625 0.875
Ba 0.276 0.409 0.824
Ba 0.915 0.091 0.867
Ba 0.409 0.276 0.324
Ba 0.867 0.276 0.452
Ba 0.133 0.409 0.085
Ba 0.452 0.776 0.867
Ba 0.452 0.676 0.085
Br 0.750 0.625 0.375
Br 0.000 0.000 0.000
Ba 0.176 0.085 0.952
Br 0.000 0.000 0.500
Ba 0.091 0.915 0.367
Ba 0.909 0.824 0.776
Br 0.250 0.875 0.125
Pb 0.625 0.250 0.375
Ba 0.633 0.048 0.224
Br 0.625 0.875 0.250
Br 0.000 0.500 0.000
Ba 0.048 0.415 0.824
Ba 0.276 0.867 0.952
Br 0.875 0.250 0.625
Ba 0.367 0.415 0.091
Br 0.125 0.750 0.375
Pb 0.375 0.750 0.625
Ba 0.724 0.591 0.176
Br 0.375 0.125 0.750
Ba 0.776 0.452 0.367
Br 0.000 0.500 0.500
Ba 0.224 0.676 0.091
Ba 0.585 0.633 0.409
Pb 0.375 0.625 0.250
Pb 0.125 0.875 0.750
Ba 0.367 0.952 0.776
Br 0.875 0.625 0.750
Ba 0.585 0.952 0.676
Ba 0.176 0.091 0.724
Ba 0.548 0.324 0.915
Ba 0.409 0.133 0.585
Ba 0.085 0.176 0.452
Ba 0.324 0.776 0.409
Pb 0.875 0.750 0.125
Ba 0.676 0.224 0.591
Ba 0.133 0.724 0.548
Pb 0.750 0.875 0.625
Ba 0.824 0.909 0.276
Br 0.375 0.250 0.125
Ba 0.591 0.867 0.415
Ba 0.591 0.724 0.676
Ba 0.824 0.915 0.048
Ba 0.867 0.591 0.915
Ba 0.224 0.548 0.633
Ba 0.091 0.176 0.224
Ba 0.085 0.909 0.133

Summary:
V (Å³/atom): 50.48
Density (g/cm3): 4.4
Formation energy from raw total energies (eV/f.u.): -18.11

Entry 7:
The following is a DFT calculation (PBE-GGA) of LiHN after structural relaxation.

Lattice parameters (Å, degrees): 2.543 7.679 4.350 90.00 90.00 90.00
Site moments in Bohr magnetons follow the coordinates.
Fractional positions:
Li 0.750 0.903 0.250  0.01
N 0.750 0.628 0.250  0.50
N 0.250 0.128 0.250  0.50
H 0.250 0.843 0.750  -0.01
Li 0.750 0.597 0.750  0.01
N 0.750 0.872 0.750  0.50
Li 0.250 0.097 0.750  0.01
N 0.250 0.372 0.750  0.50
Li 0.250 0.403 0.250  0.01
H 0.750 0.157 0.250  -0.01
H 0.750 0.343 0.750  -0.01
H 0.250 0.657 0.250  -0.01

Summary:
V (Å³/atom): 7.08
Density (g/cm3): 1.7
Distance to the lowest polymorph of the same formula (eV/atom): 0.5126

Entry 8:
The following is a DFT calculation (PBE-GGA) of ZnCd2Ir after structural relaxation.

Lattice parameters (Å, degrees): 5.199 5.199 3.963 67.61 67.61 44.85
Fractional positions:
Cd 0.000 0.000 0.000
Zn 0.250 0.250 0.250
Ir 0.750 0.750 0.750
Cd 0.500 0.500 0.500

Summary:
V (Å³/atom): 17.21
Density (g/cm3): 11.6
Calculated formation energy (kcal/mol of atoms): 1.17